! HgPb2C2O6 PBE optimized geometry; values from VASP
! V (Å³/f.u.): 178.4
! Raw formation energy (kJ/mol of formula units): -1264
! Crystal system: triclinic
! Calculated density (g cm⁻³): 6.84
&SYSTEM
  ibrav = 0, nat = 11, ntyp = 4
/
ATOMIC_SPECIES
C 12.01 C.upf
O 16.00 O.upf
Pb 207.20 Pb.upf
Hg 200.59 Hg.upf
CELL_PARAMETERS angstrom
0.797 -5.884 3.190
4.775 -3.417 2.650
-3.669 1.835 5.403
ATOMIC_POSITIONS crystal
C 0.049 0.777 0.828
O 0.943 0.128 0.318
O 0.057 0.872 0.682
C 0.951 0.223 0.172
O 0.192 0.129 0.070
Pb 0.708 0.503 0.791
O 0.311 0.563 0.876
O 0.689 0.437 0.124
Pb 0.292 0.497 0.209
O 0.808 0.871 0.930
Hg 0.500 0.000 0.500